Entry 1:
# PBE VSBrN2, optimized geometry
# - spin magnetization (μB per formula unit) = 1.53
# - E_form (uncorrected) (meV/atom) = 2020
# - uncorrected energy (eV/cell) = -21.5
# - offset from the most stable computed form (meV/atom) = 1470
# - theoretical density (g/cm³) = 4.34
data_VSBrN2
_chemical_formula_sum 'V1 S1 Br1 N2'
_space_group_name_H-M_alt 'P 4/m m m'
_space_group_IT_number 123
_space_group_name_Hall '-P 4 2'
_cell_length_a 3.8623
_cell_length_b 3.8623
_cell_length_c 4.8952
_cell_angle_alpha 90.00
_cell_angle_beta 90.00
_cell_angle_gamma 90.00
loop_
_atom_site_label
_atom_site_type_symbol
_atom_site_fract_x
_atom_site_fract_y
_atom_site_fract_z
_atom_site_occupancy
V1 V 0.0000 0.0000 0.0000 1
S1 S 0.5000 0.5000 0.0000 1
Br1 Br 0.5000 0.5000 0.5000 1
N1 N 0.0000 0.5000 0.5000 1

---

Entry 2:
# PBE Ti2ReGe, optimized geometry
# - spin magnetization (μB per formula unit) = 0.00
# - uncorrected energy (eV/cell) = -127.6
# - theoretical density (g/cm³) = 8.71
data_Ti2ReGe
_chemical_formula_sum 'Ti8 Re4 Ge4'
_space_group_name_H-M_alt 'I -4 2 d'
_space_group_IT_number 122
_space_group_name_Hall 'I -4 2bw'
_cell_length_a 7.1670
_cell_length_b 7.1670
_cell_length_c 5.2649
_cell_angle_alpha 90.00
_cell_angle_beta 90.00
_cell_angle_gamma 90.00
loop_
_atom_site_label
_atom_site_type_symbol
_atom_site_fract_x
_atom_site_fract_y
_atom_site_fract_z
_atom_site_occupancy
Ti1 Ti 0.2277 0.7500 0.1250 1
Re1 Re 0.0000 0.0000 0.0000 1
Ge1 Ge 0.0000 0.0000 0.5000 1

---

Entry 3:
# PBE Dy2ErRh, optimized geometry
# - spin magnetization (μB per formula unit) = 0.00
# - uncorrected energy (eV/cell) = -22.7
# - offset from the most stable computed form (meV/atom) = 143
# - theoretical density (g/cm³) = 9.48
data_Dy2ErRh
_chemical_formula_sum 'Dy2 Er1 Rh1'
_space_group_name_H-M_alt 'P 4/m m m'
_space_group_IT_number 123
_space_group_name_Hall '-P 4 2'
_cell_length_a 3.4989
_cell_length_b 3.4989
_cell_length_c 8.5197
_cell_angle_alpha 90.00
_cell_angle_beta 90.00
_cell_angle_gamma 90.00
loop_
_atom_site_label
_atom_site_type_symbol
_atom_site_fract_x
_atom_site_fract_y
_atom_site_fract_z
_atom_site_occupancy
Dy1 Dy 0.0000 0.0000 0.1912 1
Er1 Er 0.5000 0.5000 0.5000 1
Rh1 Rh 0.5000 0.5000 0.0000 1

---

Entry 4:
# PBE Fe2SiAs, optimized geometry
# - spin magnetization (μB per formula unit) = 2.87
# - E_form (uncorrected) (meV/atom) = -133
# - uncorrected energy (eV/cell) = -27.5
# - theoretical density (g/cm³) = 7.14
data_Fe2SiAs
_chemical_formula_sum 'Fe2 Si1 As1'
_space_group_name_H-M_alt 'P 4 m m'
_space_group_IT_number 99
_cell_length_a 3.1722
_cell_length_b 3.1722
_cell_length_c 4.9626
_cell_angle_alpha 90.00
_cell_angle_beta 90.00
_cell_angle_gamma 90.00
loop_
_space_group_symop_operation_xyz
'x,y,z'
'-y,x,z'
'-x,-y,z'
'y,-x,z'
'-x,y,z'
'y,x,z'
'x,-y,z'
'-y,-x,z'
loop_
_atom_site_label
_atom_site_type_symbol
_atom_site_fract_x
_atom_site_fract_y
_atom_site_fract_z
_atom_site_occupancy
Fe1 Fe 0.0000 0.0000 0.0000 1
Fe2 Fe 0.5000 0.5000 0.3257 1
Si1 Si 0.0000 0.0000 0.4942 1
As1 As 0.5000 0.5000 0.8160 1

---

Entry 5:
# PBE RbP4N7, optimized geometry
# - spin magnetization (μB per formula unit) = 0.00
# - E_form (uncorrected) (meV/atom) = -479
# - uncorrected energy (eV/cell) = -173.3
# - offset from the most stable computed form (meV/atom) = 6
# - theoretical density (g/cm³) = 3.48
data_RbP4N7
_chemical_formula_sum 'Rb2 P8 N14'
_space_group_name_H-M_alt 'P m n 21'
_space_group_IT_number 31
_cell_length_a 12.3254
_cell_length_b 5.0354
_cell_length_c 4.7277
_cell_angle_alpha 90.00
_cell_angle_beta 90.00
_cell_angle_gamma 90.00
loop_
_space_group_symop_operation_xyz
'x,y,z'
'-x+1/2,-y,z+1/2'
'-x,y,z'
'x+1/2,-y,z+1/2'
loop_
_atom_site_label
_atom_site_type_symbol
_atom_site_fract_x
_atom_site_fract_y
_atom_site_fract_z
_atom_site_occupancy
Rb1 Rb 0.0000 0.2243 0.0000 1
P1 P 0.1195 0.6749 0.5169 1
P2 P 0.2473 0.8219 0.9892 1
N1 N 0.0000 0.7387 0.4077 1
N2 N 0.1345 0.7567 0.8433 1
N3 N 0.1524 0.3718 0.4519 1
N4 N 0.2126 0.8813 0.3407 1